Computed, not measured: a relaxed KBaCeMnO6 crystal at the PBE with a Hubbard U level of DFT.

The structure in POSCAR format:
```
KBaCeMnO6
1.0
0.000 4.177 4.177
4.177 0.000 4.177
4.177 4.177 0.000
K Ba Ce Mn O
1 1 1 1 6
Cartesian
6.265 6.265 6.265
2.088 2.088 2.088
0.000 0.000 0.000
4.177 4.177 4.177
4.177 2.235 4.177
4.177 6.118 4.177
6.118 4.177 4.177
2.235 4.177 4.177
4.177 4.177 2.235
4.177 4.177 6.118
```

Calculated values
* V: 14.6 Å³ per atom
* final energy: -6.8223 eV per atom